Record 1
The following is a DFT calculation (PBE with a Hubbard U) of a relaxed structure of RbPaFeO5.

Cell: 7.7033 10.0835 8.2000 Å, 90.00 116.63 90.00°
Closest atoms and distances in Å follow each position.
Space group C2/c (No. 15)
Unique sites:
Rb: 0.0000 0.1673 0.2500  7 O 2.74-3.06
Pa: 0.0000 0.5000 0.0000  6 O 2.14-2.18
Fe: 0.0000 0.1907 0.7500  4 O 1.87-1.88
O: 0.0000 0.4389 0.2500  2 Pa 2.14
O: 0.0790 0.3017 0.6107  1 Fe 1.88
O: 0.2030 0.0749 0.8861  1 Fe 1.87

- N(E_F): 4.55 states/eV/f.u.
- Total magnetic moment: 3.98 μB per formula unit
- DFT total energy: -59.08 eV per formula unit

=====

Record 2
The following is a DFT calculation (PBE with a Hubbard U) of a relaxed structure of RbPaFe2O6.

Cell: 10.8439 10.7556 6.4996 Å, 90.00 107.90 90.00°
Closest atoms and distances in Å follow each position.
Space group C2/c (No. 15)
Unique sites:
Rb: 0.0000 0.0930 0.2500  6 O 2.71-3.02
Pa: 0.0000 0.2910 0.7500  4 O 2.07-2.19
Fe: 0.2026 0.4243 0.1517  4 O 1.86-2.00
O: 0.0711 0.3026 0.0836  1 Fe 1.88, 1 Pa 2.07
O: 0.1328 0.1424 0.7249  1 Fe 1.86
O: 0.1638 0.4489 0.8328  2 Fe 1.93-2.00

- N(E_F): 0.00 states/eV/f.u.
- Total magnetic moment: 10.00 μB per formula unit
- DFT total energy: -73.10 eV per formula unit

=====

Record 3
The following is a DFT calculation (PBE with a Hubbard U) of a relaxed structure of Rb2PaFe2O6.

Cell: 6.2144 6.2144 17.6485 Å, 90.00 90.00 120.00°
Closest atoms and distances in Å follow each position.
Space group R-3m (No. 166, hexagonal axes)
Unique sites:
Rb: 0.0000 0.0000 0.2172  9 O 3.06-3.19
Pa: 0.0000 0.0000 0.0000  6 O 2.19
Fe: 0.0000 0.0000 0.4228  3 O 1.86
O: 0.0083 0.5042 0.7413  1 Fe 1.86

- Total magnetic moment: 9.00 μB per formula unit
- DFT total energy: -76.05 eV per formula unit

=====

Record 4
The following is a DFT calculation (PBE with a Hubbard U) of a relaxed structure of Rb2Pa3FeO12.

Cell: 7.9738 7.9738 18.3599 Å, 90.00 90.00 120.00°
Closest atoms and distances in Å follow each position.
Space group R-3m (No. 166, hexagonal axes)
Unique sites:
Rb: 0.0000 0.0000 0.1309  9 O 3.38-3.60
Pa: 0.0000 0.5000 0.0000  6 O 2.15-2.16
Fe: 0.0000 0.0000 0.5000  6 O 1.86
O: 0.0782 0.5391 0.3651  2 Pa 2.16
O: 0.1103 0.5552 0.1097  1 Fe 1.86

- N(E_F): 10.55 states/eV/f.u.
- Total magnetic moment: 5.08 μB per formula unit
- DFT total energy: -139.35 eV per formula unit

=====

Record 5
The following is a DFT calculation (PBE with a Hubbard U) of a relaxed structure of PaFeReO6.

Cell: 5.3765 5.3765 8.9306 Å, 90.00 90.00 120.00°
Closest atoms and distances in Å follow each position.
Space group P-31c (No. 163)
Unique sites:
Pa: 0.3333 0.6667 0.2500  6 O 2.20
Fe: 0.0000 0.0000 0.0000  6 O 2.11
Re: 0.3333 0.6667 0.7500  6 O 2.02
O: 0.0268 0.3439 0.6268  1 Re 2.02, 1 Fe 2.11, 1 Pa 2.20

- N(E_F): 0.37 states/eV/f.u.
- Total magnetic moment: 1.99 μB per formula unit
- DFT total energy: -76.32 eV per formula unit

=====

Record 6
The following is a DFT calculation (PBE with a Hubbard U) of a relaxed structure of PaFe2RhO8.

Cell: 6.6972 6.6972 7.0205 Å, 90.00 90.00 90.00°
Closest atoms and distances in Å follow each position.
Space group I-4m2 (No. 119)
Unique sites:
Pa: 0.0000 0.0000 0.0000  4 O 2.09
Fe: 0.0000 0.0000 0.5000  4 O 1.93
Fe: 0.0000 0.5000 0.7500  4 O 1.84
Rh: 0.0000 0.5000 0.2500  4 O 2.01
O: 0.0000 0.2056 0.3066  1 Fe 1.93, 1 Rh 2.01
O: 0.0000 0.3049 0.9338  1 Fe 1.84

- N(E_F): 5.30 states/eV/f.u.
- Total magnetic moment: 11.50 μB per formula unit
- DFT total energy: -85.15 eV per formula unit

=====

Record 7
The following is a DFT calculation (PBE with a Hubbard U) of a relaxed structure of PaFe2SbO8.

Cell: 6.7548 6.7548 6.7869 Å, 90.00 90.00 90.00°
Closest atoms and distances in Å follow each position.
Space group I-4m2 (No. 119)
Unique sites:
Pa: 0.0000 0.0000 0.0000  4 O 2.15
Fe: 0.0000 0.0000 0.5000  4 O 1.89
Fe: 0.0000 0.5000 0.7500  4 O 1.88
Sb: 0.0000 0.5000 0.2500  4 O 2.05
O: 0.0000 0.2014 0.3064  1 Fe 1.89, 1 Sb 2.05
O: 0.0000 0.3158 0.9576  1 Fe 1.88

- Total magnetic moment: 0.00 μB per formula unit
- DFT total energy: -87.30 eV per formula unit

=====

Record 8
The following is a DFT calculation (PBE with a Hubbard U) of a relaxed structure of PaFeSi2O8.

Cell: 6.7282 6.7282 6.1739 Å, 90.00 90.00 90.00°
Closest atoms and distances in Å follow each position.
Space group I-4m2 (No. 119)
Unique sites:
Pa: 0.0000 0.0000 0.0000  8 O 2.19-2.38
Fe: 0.0000 0.5000 0.7500  8 O 2.15-2.34
Si: 0.0000 0.0000 0.5000  4 O 1.66
Si: 0.0000 0.5000 0.2500  4 O 1.63
O: 0.0000 0.1884 0.6729  1 Si 1.66
O: 0.0000 0.3186 0.0742  1 Si 1.63

- N(E_F): 0.00 states/eV/f.u.
- Total magnetic moment: 5.02 μB per formula unit
- DFT total energy: -97.37 eV per formula unit

=====

Record 9
The following is a DFT calculation (PBE with a Hubbard U) of a relaxed structure of PaFe2SiO6.

Cell: 5.2700 5.2865 5.6096 Å, 62.24 62.89 60.16°
Closest atoms and distances in Å follow each position.
Space group P1 (No. 1)
Unique sites:
Pa: 0.0000 0.0000 0.0000  6 O 2.21-2.38
Fe: 0.2063 0.2071 0.3854  6 O 2.08-2.27
Fe: 0.7148 0.7289 0.8570  5 O 2.10-2.28
Si: 0.5068 0.5096 0.4823  6 O 1.80-1.88
O: 0.1686 0.7449 0.6820  1 Si 1.80
O: 0.3116 0.5953 0.2379  1 Si 1.84
O: 0.4182 0.1622 0.6813  1 Si 1.82
O: 0.5917 0.8639 0.2368  1 Si 1.86, 1 Fe 2.08
O: 0.7511 0.4114 0.6806  1 Si 1.81
O: 0.8581 0.3220 0.2292  1 Si 1.88, 1 Fe 2.09

- N(E_F): 1.97 states/eV/f.u.
- Total magnetic moment: 7.00 μB per formula unit
- DFT total energy: -78.50 eV per formula unit

=====

Record 10
The following is a DFT calculation (PBE with a Hubbard U) of a relaxed structure of SmPaFeO6.

Cell: 5.3659 5.3659 4.8275 Å, 90.00 90.00 120.00°
Closest atoms and distances in Å follow each position.
Space group P312 (No. 149)
Unique sites:
Sm: 0.0000 0.0000 0.0000  6 O 2.30
Pa: 0.6667 0.3333 0.5000  6 O 2.20
Fe: 0.3333 0.6667 0.0000  6 O 1.96
O: 0.0226 0.3847 0.2344  1 Fe 1.96

- N(E_F): 4.59 states/eV/f.u.
- Total magnetic moment: 2.00 μB per formula unit
- DFT total energy: -71.31 eV per formula unit